[1]
ZnNi2Cl: relaxed, GGA-PBE.

Fermi-level density of states = 0.57 states/eV/atom
magnetic moment = 1.165 Bohr magnetons per cell
SG = R3m, No. 160
energy above the lowest structure with this stoichiometry = 0.174 eV/atom
uncorrected formation energy = 11.74 kJ/mol of atoms

```
ZnNi2Cl
1.0
-4.706 3.071 5.090
-6.334 3.308 2.533
-6.338 0.703 4.101
Zn Ni Cl
1 2 1
direct
0.510 0.510 0.510
0.998 0.998 0.998
0.255 0.255 0.255
0.736 0.736 0.736
```


[2]
ZnNiCl2: relaxed, GGA-PBE.

Fermi-level density of states = 0.68 states/eV/atom
magnetic moment = 0.777 Bohr magnetons per cell
SG = Immm, No. 71
energy above the lowest structure with this stoichiometry = 0.081 eV/atom
uncorrected formation energy = -27.11 kJ/mol of atoms

```
ZnNiCl2
1.0
7.174 0.211 -0.025
5.190 4.957 0.025
-5.997 -3.026 2.527
Cl Ni Zn
2 1 1
direct
0.880 0.880 0.000
0.620 0.620 0.000
0.750 0.250 0.500
0.250 0.750 0.500
```


[3]
ZnNi4Cl: relaxed, GGA-PBE.

Fermi-level density of states = 1.17 states/eV/atom
magnetic moment = 0.001 Bohr magnetons per cell
SG = F-43m, No. 216
uncorrected formation energy = 41.46 kJ/mol of atoms

```
ZnNi4Cl
1.0
0.000 3.416 3.416
3.416 0.000 3.416
3.416 3.416 0.000
Zn Ni Cl
1 4 1
direct
0.750 0.750 0.750
0.376 0.376 0.376
0.872 0.376 0.376
0.376 0.376 0.872
0.376 0.872 0.376
0.000 0.000 0.000
```


[4]
ZnNi2Cl: relaxed, GGA-PBE.

Fermi-level density of states = 0.96 states/eV/atom
magnetic moment = 0.796 Bohr magnetons per cell
SG = Pmmm, No. 47
energy above the lowest structure with this stoichiometry = 0.336 eV/atom
uncorrected formation energy = 27.43 kJ/mol of atoms

```
ZnNi2Cl
1.0
-0.462 0.036 2.828
0.561 -4.962 0.155
3.881 0.458 0.628
Ni Cl Zn
2 1 1
direct
0.500 0.500 0.000
0.000 0.000 0.000
0.000 0.500 0.500
0.500 0.000 0.500
```


[5]
ZnNi2Cl: relaxed, GGA-PBE.

Fermi-level density of states = 1.05 states/eV/atom
magnetic moment = 0.026 Bohr magnetons per cell
SG = C2/m, No. 12
energy above the lowest structure with this stoichiometry = 0.355 eV/atom
uncorrected formation energy = 29.19 kJ/mol of atoms

```
ZnNi2Cl
1.0
4.919 -0.005 0.018
-1.775 4.588 0.018
0.888 1.294 2.479
Zn Ni Cl
1 2 1
direct
0.500 0.000 0.500
0.000 0.000 0.000
0.500 0.500 0.000
0.000 0.500 0.500
```


[6]
ZnNi2Cl: relaxed, GGA-PBE.

Fermi-level density of states = 0.60 states/eV/atom
magnetic moment = 0.826 Bohr magnetons per cell
SG = P4mm, No. 99
energy above the lowest structure with this stoichiometry = 0.119 eV/atom
uncorrected formation energy = 6.43 kJ/mol of atoms

```
ZnNi2Cl
1.0
3.117 0.000 0.000
0.000 3.116 0.000
0.000 0.000 6.434
Cl Ni Zn
1 2 1
direct
0.500 0.500 0.857
0.500 0.500 0.224
0.000 0.000 0.017
0.000 0.000 0.402
```


[7]
ZnNiCl2: relaxed, GGA-PBE.

Fermi-level density of states = 1.78 states/eV/atom
magnetic moment = 0.107 Bohr magnetons per cell
SG = R-3m, No. 166
energy above the lowest structure with this stoichiometry = 0.207 eV/atom
uncorrected formation energy = -14.99 kJ/mol of atoms

```
ZnNiCl2
1.0
2.107 0.000 7.144
-1.054 1.825 7.144
-1.054 -1.825 7.144
Cl Zn Ni
2 1 1
direct
0.902 0.902 0.902
0.098 0.098 0.098
0.500 0.500 0.500
0.000 0.000 0.000
```


[8]
ZnNi2Cl: relaxed, GGA-PBE.

Fermi-level density of states = 0.60 states/eV/atom
magnetic moment = 0.689 Bohr magnetons per cell
SG = Imm2, No. 44
energy above the lowest structure with this stoichiometry = 0.160 eV/atom
uncorrected formation energy = 10.39 kJ/mol of atoms

```
ZnNi2Cl
1.0
-3.494 -3.837 2.913
1.064 -3.620 4.602
-0.059 5.391 -2.520
Zn Ni Cl
1 2 1
direct
0.460 0.460 0.000
0.834 0.334 0.500
0.016 0.016 0.000
0.190 0.690 0.500
```